# PBE-GGA TiPdCS2, optimized geometry
data_TiPdCS2
_cell_length_a 4.8587
_cell_length_b 4.8587
_cell_length_c 3.7487
_cell_angle_alpha 90.00
_cell_angle_beta 90.00
_cell_angle_gamma 90.00
_symmetry_space_group_name_H-M 'P 4/m m m'
_symmetry_Int_Tables_number 123
_symmetry_space_group_name_Hall '-P 4 2'
loop_
_atom_site_label
_atom_site_fract_x
_atom_site_fract_y
_atom_site_fract_z
_atom_site_occupancy
Ti1 0.0000 0.0000 0.0000 1
Pd1 0.5000 0.5000 0.5000 1
C1 0.5000 0.5000 0.0000 1
S1 0.0000 0.5000 0.5000 1
# * energy relative to the elements, uncorrected: 18.93 kcal/mol of atoms

# PBE-GGA TlPd2CS, optimized geometry
data_TlPd2CS
_cell_length_a 4.4353
_cell_length_b 4.4353
_cell_length_c 5.9781
_cell_angle_alpha 90.00
_cell_angle_beta 90.00
_cell_angle_gamma 90.00
_symmetry_space_group_name_H-M 'P 4/m m m'
_symmetry_Int_Tables_number 123
_symmetry_space_group_name_Hall '-P 4 2'
loop_
_atom_site_label
_atom_site_fract_x
_atom_site_fract_y
_atom_site_fract_z
_atom_site_occupancy
Tl1 0.0000 0.0000 0.0000 1
Pd1 0.0000 0.5000 0.5000 1
C1 0.5000 0.5000 0.0000 1
S1 0.0000 0.0000 0.5000 1
# * energy relative to the elements, uncorrected: 30.89 kcal/mol of atoms

# PBE-GGA SbPd2C, optimized geometry
data_SbPd2C
_cell_length_a 4.9902
_cell_length_b 4.9902
_cell_length_c 11.8164
_cell_angle_alpha 90.00
_cell_angle_beta 90.00
_cell_angle_gamma 90.00
_symmetry_space_group_name_H-M 'I -4 2 d'
_symmetry_Int_Tables_number 122
_symmetry_space_group_name_Hall 'I -4 2bw'
loop_
_atom_site_label
_atom_site_fract_x
_atom_site_fract_y
_atom_site_fract_z
_atom_site_occupancy
Sb1 0.0000 0.0000 0.0000 1
Pd1 0.1311 0.2500 0.6250 1
C1 0.0000 0.0000 0.5000 1
# * energy relative to the elements, uncorrected: 10.97 kcal/mol of atoms